Tm2Fe5SiB2 | PBE | optimized geometry

```
Tm2Fe5SiB2
1.0
2.963 0.000 0.000
0.000 8.931 0.000
0.000 0.000 8.931
Fe B Tm Si
10 4 4 2
direct
0.500 0.716 0.434
0.500 0.066 0.784
0.500 0.500 0.000
0.500 0.566 0.716
0.500 0.284 0.566
0.500 0.216 0.066
0.500 0.784 0.934
0.500 0.934 0.216
0.500 0.434 0.284
0.500 0.000 0.500
0.000 0.620 0.880
0.000 0.120 0.620
0.000 0.380 0.120
0.000 0.880 0.380
0.000 0.323 0.823
0.000 0.677 0.177
0.000 0.823 0.677
0.000 0.177 0.323
0.000 0.000 0.000
0.000 0.500 0.500
```

Total energy ... -7.300 eV/atom
E_form (uncorrected) ... -0.297 eV/atom
Space-group type ... No. 127